DFT (GGA+U) results for an optimized crystal structure of NbCrCoO6.

As for the volume: 194.8 Å³ per cell. The value obtained for the total energy is -135.8 eV/cell. The theoretical density comes out at 5.1 g cm⁻³. The magnetic moment comes out at 4.0 Bohr magnetons per cell.

a b c (Å): 4.6263 4.6263 9.1013
angles (deg): 90.00 90.00 90.00
Fractional positions:
Nb 0.5000 0.5000 0.8333
Nb 0.0000 0.0000 0.3332
Cr 0.5000 0.5000 0.4999
Cr 0.0000 0.0000 0.9999
Co 0.5000 0.5000 0.1684
Co 0.0000 0.0000 0.6684
O 0.2086 0.7914 0.4957
O 0.7914 0.2086 0.4957
O 0.2914 0.2914 0.9957
O 0.7086 0.7086 0.9957
O 0.1994 0.8006 0.1635
O 0.8006 0.1994 0.1635
O 0.3006 0.3006 0.6635
O 0.6994 0.6994 0.6635
O 0.8059 0.1941 0.8400
O 0.1941 0.8059 0.8400
O 0.6941 0.6941 0.3401
O 0.3059 0.3059 0.3401